First-principles (PBE) data for crystalline BaCaPrSm at its relaxed geometry, as listed in Alexandria via LeMat-Bulk.

Cell lengths 6.1552, 6.1552, 6.1552 Å; angles 60.00, 60.00, 60.00 degrees
Sites, in units of the cell vectors:
Pr1 0.0000 0.0000 0.0000
Ca1 0.7500 0.7500 0.7500
Ba1 0.5000 0.5000 0.5000
Sm1 0.2500 0.2500 0.2500

For the formation enthalpy at 0 K, the calculation gives 0.76 eV/f.u. As for the space-group type: No. 216. The uncorrected energy comes out at -3.165 eV/atom.


First-principles (PBE) data for crystalline Nd2ErTl4 at its relaxed geometry, as listed in Alexandria via LeMat-Bulk.

Cell lengths 5.3213, 5.3213, 8.4749 Å; angles 108.30, 108.30, 90.00 degrees
Sites, in units of the cell vectors:
Nd1 0.7493 0.7493 0.4985
Nd2 0.2507 0.2507 0.5015
Er1 0.0000 0.0000 0.0000
Tl1 0.3893 0.8893 0.7785
Tl2 0.8893 0.3893 0.7785
Tl3 0.6107 0.1107 0.2215
Tl4 0.1107 0.6107 0.2215

For the formation enthalpy at 0 K, the calculation gives -1.66 eV/f.u. As for the space-group type: No. 139. The uncorrected energy comes out at -3.603 eV/atom. The offset from the most stable computed form is 0.0000 eV per atom.


First-principles (PBE) data for crystalline YCu3Bi at its relaxed geometry, as listed in Alexandria via LeMat-Bulk.

Cell lengths 5.0302, 5.0302, 5.0302 Å; angles 90.00, 90.00, 90.00 degrees
Sites, in units of the cell vectors:
Y1 0.0000 0.0000 0.0000
Bi1 0.5000 0.5000 0.5000
Cu1 0.0000 0.5000 0.0000
Cu2 0.0000 0.0000 0.5000
Cu3 0.5000 0.0000 0.0000

For the formation enthalpy at 0 K, the calculation gives 5.05 eV/f.u. As for the space-group type: No. 221. The uncorrected energy comes out at -3.517 eV/atom. The offset from the most stable computed form is 0.4198 eV per atom.


First-principles (PBE) data for crystalline PmSm5YEr2 at its relaxed geometry, as listed in Alexandria via LeMat-Bulk.

Cell lengths 5.6432, 10.5423, 10.6492 Å; angles 90.00, 90.00, 105.52 degrees
Sites, in units of the cell vectors:
Pm1 0.7992 0.5984 0.5109
Pm2 0.2008 0.4016 0.0109
Sm1 0.3916 0.7832 0.0252
Sm2 0.7200 0.4399 0.8089
Sm3 0.4791 0.9582 0.7411
Sm4 0.2984 0.5969 0.7062
Sm5 0.9839 0.9678 0.5222
Sm6 0.6084 0.2168 0.5252
Sm7 0.2800 0.5601 0.3089
Sm8 0.5209 0.0418 0.2411
Sm9 0.7016 0.4031 0.2062
Sm10 0.0161 0.0322 0.0222
Y1 0.5893 0.1786 0.9555
Y2 0.4107 0.8214 0.4555
Er1 0.8849 0.7697 0.8169
Er2 0.1109 0.2219 0.7370
Er3 0.1151 0.2303 0.3169
Er4 0.8891 0.7781 0.2370

For the formation enthalpy at 0 K, the calculation gives 1.39 eV/f.u. As for the space-group type: No. 36. The uncorrected energy comes out at -4.727 eV/atom.


First-principles (PBE) data for crystalline AcNd2DyY2 at its relaxed geometry, as listed in Alexandria via LeMat-Bulk.

Cell lengths 3.5065, 6.6814, 18.3121 Å; angles 90.00, 90.00, 90.00 degrees
Sites, in units of the cell vectors:
Ac1 0.0000 0.0000 0.0000
Ac2 0.5000 0.5000 0.5000
Nd1 0.5000 0.1970 0.3496
Nd2 0.0000 0.6970 0.1504
Nd3 0.5000 0.8030 0.6504
Nd4 0.0000 0.3030 0.8496
Dy1 0.5000 0.5000 0.0000
Dy2 0.0000 0.0000 0.5000
Y1 0.5000 0.7021 0.3136
Y2 0.5000 0.2979 0.6864
Y3 0.0000 0.7979 0.8136
Y4 0.0000 0.2021 0.1864

For the formation enthalpy at 0 K, the calculation gives 1.69 eV/f.u. As for the space-group type: No. 58. The uncorrected energy comes out at -4.914 eV/atom.


First-principles (PBE) data for crystalline MgU2Co4Ge3 at its relaxed geometry, as listed in Alexandria via LeMat-Bulk.

Cell lengths 3.8237, 3.8237, 10.6979 Å; angles 90.00, 90.00, 90.00 degrees
Sites, in units of the cell vectors:
Mg1 0.5000 0.5000 0.5000
U1 0.5000 0.0000 0.2481
U2 0.0000 0.5000 0.7519
Co1 0.5000 0.5000 0.0000
Co2 0.0000 0.0000 0.0000
Co3 0.5000 0.0000 0.6599
Co4 0.0000 0.5000 0.3401
Ge1 0.0000 0.0000 0.5000
Ge2 0.5000 0.0000 0.8766
Ge3 0.0000 0.5000 0.1234

For the formation enthalpy at 0 K, the calculation gives -2.63 eV/f.u. As for the space-group type: No. 115. The uncorrected energy comes out at -6.908 eV/atom.


First-principles (PBE) data for crystalline AgBiB3 at its relaxed geometry, as listed in Alexandria via LeMat-Bulk.

Cell lengths 4.7467, 4.7467, 4.7467 Å; angles 90.00, 90.00, 90.00 degrees
Sites, in units of the cell vectors:
B1 0.0000 0.5000 0.0000
B2 0.0000 0.0000 0.5000
B3 0.5000 0.0000 0.0000
Bi1 0.0000 0.0000 0.0000
Ag1 0.5000 0.5000 0.5000

For the formation enthalpy at 0 K, the calculation gives 12.58 eV/f.u. As for the space-group type: No. 221. The uncorrected energy comes out at -2.837 eV/atom. The offset from the most stable computed form is 0.6027 eV per atom.


First-principles (PBE) data for crystalline CeGa3Ni3 at its relaxed geometry, as listed in Alexandria via LeMat-Bulk.

Cell lengths 6.4467, 6.4467, 7.1808 Å; angles 63.33, 63.33, 60.00 degrees
Sites, in units of the cell vectors:
Ce1 0.3425 0.3425 0.9724
Ce2 0.6575 0.6575 0.0276
Ga1 0.5504 0.7417 0.6202
Ga2 0.7417 0.0878 0.6202
Ga3 0.0878 0.5504 0.6202
Ga4 0.9122 0.4496 0.3798
Ga5 0.2583 0.9122 0.3798
Ga6 0.4496 0.2583 0.3798
Ni1 0.1686 0.7103 0.2008
Ni2 0.9202 0.1686 0.2008
Ni3 0.7103 0.9202 0.2008
Ni4 0.2897 0.0798 0.7992
Ni5 0.0798 0.8314 0.7992
Ni6 0.8314 0.2897 0.7992

For the formation enthalpy at 0 K, the calculation gives -2.13 eV/f.u. As for the space-group type: No. 148. The uncorrected energy comes out at -4.927 eV/atom. The offset from the most stable computed form is 0.0000 eV per atom.